Record 1
DFT (PBE-GGA) results for an optimized crystal structure of AgSb2Au.

Geometry as POSCAR:
```
AgSb2Au
1.0
4.3883 0.0000 0.0000
2.1941 3.8004 0.0000
2.1941 1.2668 5.9519
Sb Ag Au
2 1 1
Cartesian
2.1941 1.2668 1.4287
2.1941 1.2668 4.5425
4.3883 2.5336 2.9523
4.3883 2.5336 0.0043
```

Properties
- relative energy among the computed polymorphs (kJ per mole of atoms) = 1.7
- space group = R3m, No. 160
- energy relative to the elements, uncorrected (eV/atom) = 0.056



Record 2
DFT (PBE-GGA) results for an optimized crystal structure of AgSbAu2.

Geometry as POSCAR:
```
AgSbAu2
1.0
-3.8648 1.1292 1.1243
-1.2553 -3.9744 -0.3232
-0.2687 -2.9082 9.7685
Au Sb Ag
4 2 2
Cartesian
-2.1231 -3.2529 7.6264
-4.6800 -4.6657 8.0278
-1.3396 -3.0685 2.3820
-2.6348 -0.5195 3.1031
-3.3468 -1.6008 5.6467
0.0000 0.0000 0.0000
-2.5600 -1.4226 0.4006
-2.0420 -4.1525 4.9229
```

Properties
- space group = I-42d, No. 122
- energy relative to the elements, uncorrected (eV/atom) = 0.083



Record 3
DFT (PBE-GGA) results for an optimized crystal structure of AgSb2Au2.

Geometry as POSCAR:
```
AgSb2Au2
1.0
7.4281 0.0000 0.0000
0.0000 7.4281 0.0000
0.0000 0.0000 4.0526
Sb Ag Au
4 2 4
Cartesian
1.2469 4.9609 2.0263
6.1813 2.4672 2.0263
4.9609 6.1813 2.0263
2.4672 1.2469 2.0263
3.7141 3.7141 0.0000
0.0000 0.0000 0.0000
2.6855 6.3996 0.0000
6.3996 4.7426 0.0000
4.7426 1.0285 0.0000
1.0285 2.6855 0.0000
```

Properties
- relative energy among the computed polymorphs (kJ per mole of atoms) = 0.0
- space group = P4/mbm, No. 127
- energy relative to the elements, uncorrected (eV/atom) = 0.068



Repeat the third record exactly.
DFT (PBE-GGA) results for an optimized crystal structure of AgSb2Au2.

Geometry as POSCAR:
```
AgSb2Au2
1.0
7.4281 0.0000 0.0000
0.0000 7.4281 0.0000
0.0000 0.0000 4.0526
Sb Ag Au
4 2 4
Cartesian
1.2469 4.9609 2.0263
6.1813 2.4672 2.0263
4.9609 6.1813 2.0263
2.4672 1.2469 2.0263
3.7141 3.7141 0.0000
0.0000 0.0000 0.0000
2.6855 6.3996 0.0000
6.3996 4.7426 0.0000
4.7426 1.0285 0.0000
1.0285 2.6855 0.0000
```

Properties
- relative energy among the computed polymorphs (kJ per mole of atoms) = 0.0
- space group = P4/mbm, No. 127
- energy relative to the elements, uncorrected (eV/atom) = 0.068